DFT (PBE) results for crystalline BaTl6Sn at its relaxed geometry.

Values from the calculation:
energy relative to the elements: -0.139 eV/atom

a = 5.4737 Å, b = 7.8811 Å, c = 11.9398 Å
α = 90.00°, β = 90.00°, γ = 90.00°
Fractional coordinates of all 16 atoms:
Ba 0.0000 0.0000 0.0000
Ba 0.0000 0.5000 0.5000
Tl 0.0000 0.2174 0.2708
Tl 0.0000 0.2826 0.7708
Tl 0.0000 0.7174 0.7708
Tl 0.0000 0.7826 0.2708
Tl 0.5000 0.0000 0.2007
Tl 0.5000 0.0000 0.7283
Tl 0.5000 0.2070 0.4632
Tl 0.5000 0.2930 0.9632
Tl 0.5000 0.5000 0.2283
Tl 0.5000 0.5000 0.7007
Tl 0.5000 0.7070 0.9632
Tl 0.5000 0.7930 0.4632
Sn 0.0000 0.0000 0.5440
Sn 0.0000 0.5000 0.0440

***

DFT (PBE) results for crystalline Ba2Tl3Sn2 at its relaxed geometry.

Values from the calculation:
energy relative to the elements: -0.390 eV/atom
energy above the most stable polymorph in this dataset: 0 meV/atom

a = 12.4778 Å, b = 5.0152 Å, c = 8.1051 Å
α = 90.00°, β = 107.29°, γ = 90.00°
Fractional coordinates of all 14 atoms:
Ba 0.1357 0.0000 0.2725
Ba 0.3643 0.5000 0.7275
Ba 0.6357 0.5000 0.2725
Ba 0.8643 0.0000 0.7275
Tl 0.0000 0.5000 0.5000
Tl 0.1129 0.5000 0.9366
Tl 0.3871 0.0000 0.0634
Tl 0.5000 0.0000 0.5000
Tl 0.6129 0.0000 0.9366
Tl 0.8871 0.5000 0.0634
Sn 0.1612 0.0000 0.7434
Sn 0.3388 0.5000 0.2566
Sn 0.6612 0.5000 0.7434
Sn 0.8388 0.0000 0.2566

***

DFT (PBE) results for crystalline Ba2TlSn6 at its relaxed geometry.

Values from the calculation:
energy relative to the elements: -0.371 eV/atom

a = 7.1703 Å, b = 7.1703 Å, c = 6.5809 Å
α = 90.00°, β = 90.00°, γ = 120.00°
Fractional coordinates of all 9 atoms:
Ba 0.3333 0.6667 0.1490
Ba 0.6667 0.3333 0.8510
Tl 0.0000 0.0000 0.0000
Sn 0.1864 0.3729 0.6526
Sn 0.1864 0.8136 0.6526
Sn 0.3729 0.1864 0.3474
Sn 0.6271 0.8136 0.6526
Sn 0.8136 0.1864 0.3474
Sn 0.8136 0.6271 0.3474

***

DFT (PBE) results for crystalline Ba12Tl2Sn5 at its relaxed geometry.

Values from the calculation:
energy relative to the elements: -0.413 eV/atom

a = 10.5987 Å, b = 10.5987 Å, c = 11.5421 Å
α = 98.98°, β = 98.98°, γ = 47.55°
Fractional coordinates of all 19 atoms:
Ba 0.0176 0.0176 0.2884
Ba 0.0605 0.5739 0.8805
Ba 0.0984 0.5945 0.4274
Ba 0.4055 0.9016 0.5726
Ba 0.4261 0.9395 0.1195
Ba 0.4595 0.4595 0.1862
Ba 0.5405 0.5405 0.8138
Ba 0.5739 0.0605 0.8805
Ba 0.5945 0.0984 0.4274
Ba 0.9016 0.4055 0.5726
Ba 0.9395 0.4261 0.1195
Ba 0.9824 0.9824 0.7116
Tl 0.1796 0.8204 0.0000
Tl 0.8204 0.1796 0.0000
Sn 0.1600 0.1600 0.8529
Sn 0.2021 0.2021 0.3611
Sn 0.5000 0.5000 0.5000
Sn 0.7979 0.7979 0.6389
Sn 0.8400 0.8400 0.1471